No. 1
! PBE Mg2AlHg, relaxed; values from VASP
! Space-group type: P2/m, No. 10
! Energy relative to the lowest polymorph listed for this composition in meV per atom: 0
&SYSTEM
  ibrav = 0, nat = 4, ntyp = 3
/
ATOMIC_SPECIES
Mg 24.30 Mg.upf
Al 26.98 Al.upf
Hg 200.59 Hg.upf
CELL_PARAMETERS angstrom
3.1744 0.0000 0.0000
0.0000 4.1578 0.0000
-0.1203 0.0000 6.1642
ATOMIC_POSITIONS angstrom
Mg -0.0253 0.0000 1.5190
Mg 3.0794 0.0000 4.6453
Al 1.5872 2.0789 0.0000
Hg 1.5270 2.0789 3.0821

No. 2
! PBE Mg2AlHg, relaxed; values from VASP
! Space-group type: C2/m, No. 12
! Energy relative to the lowest polymorph listed for this composition in meV per atom: 57
&SYSTEM
  ibrav = 0, nat = 8, ntyp = 3
/
ATOMIC_SPECIES
Mg 24.30 Mg.upf
Al 26.98 Al.upf
Hg 200.59 Hg.upf
CELL_PARAMETERS angstrom
9.4292 0.0000 0.0000
0.0000 3.1052 0.0000
-1.2606 0.0000 5.8084
ATOMIC_POSITIONS angstrom
Mg 2.0344 0.0000 1.4080
Mg 1.4195 1.5526 4.4004
Mg 6.7490 1.5526 1.4080
Mg 6.1341 0.0000 4.4004
Al 0.0000 1.5526 0.0000
Al 4.7146 0.0000 0.0000
Hg -0.6303 0.0000 2.9042
Hg 4.0843 1.5526 2.9042

No. 3
! PBE Mg2AlHg, relaxed; values from VASP
! Space-group type: Imm2, No. 44
! Energy relative to the lowest polymorph listed for this composition in meV per atom: 36
&SYSTEM
  ibrav = 0, nat = 8, ntyp = 3
/
ATOMIC_SPECIES
Mg 24.30 Mg.upf
Al 26.98 Al.upf
Hg 200.59 Hg.upf
CELL_PARAMETERS angstrom
4.2473 0.0000 0.0000
0.0000 4.3305 0.0000
0.0000 0.0000 8.9565
ATOMIC_POSITIONS angstrom
Mg 0.0000 0.0000 0.0000
Mg 0.0000 2.1652 2.2239
Mg 2.1237 0.0000 6.7022
Mg 2.1237 2.1652 4.4783
Al 0.0000 2.1652 6.7342
Al 2.1237 0.0000 2.2560
Hg 0.0000 0.0000 4.4591
Hg 2.1237 2.1652 8.9373

No. 4
! PBE Mg2AlHg, relaxed; values from VASP
! Space-group type: F-43m, No. 216
! Energy relative to the lowest polymorph listed for this composition in meV per atom: 123
&SYSTEM
  ibrav = 0, nat = 16, ntyp = 3
/
ATOMIC_SPECIES
Mg 24.30 Mg.upf
Al 26.98 Al.upf
Hg 200.59 Hg.upf
CELL_PARAMETERS angstrom
6.9413 0.0000 0.0000
0.0000 6.9413 0.0000
0.0000 0.0000 6.9413
ATOMIC_POSITIONS angstrom
Mg 0.0000 0.0000 0.0000
Mg 0.0000 3.4707 3.4707
Mg 1.7353 1.7353 1.7353
Mg 1.7353 5.2060 5.2060
Mg 3.4707 0.0000 3.4707
Mg 3.4707 3.4707 0.0000
Mg 5.2060 1.7353 5.2060
Mg 5.2060 5.2060 1.7353
Al 0.0000 0.0000 3.4707
Al 0.0000 3.4707 0.0000
Al 3.4707 0.0000 0.0000
Al 3.4707 3.4707 3.4707
Hg 1.7353 1.7353 5.2060
Hg 1.7353 5.2060 1.7353
Hg 5.2060 1.7353 1.7353
Hg 5.2060 5.2060 5.2060

No. 5
! PBE MgAl2Hg, relaxed; values from VASP
! Space-group type: R-3m, No. 166
! Energy relative to the lowest polymorph listed for this composition in meV per atom: 66
&SYSTEM
  ibrav = 0, nat = 12, ntyp = 3
/
ATOMIC_SPECIES
Mg 24.30 Mg.upf
Al 26.98 Al.upf
Hg 200.59 Hg.upf
CELL_PARAMETERS angstrom
3.1607 0.0000 0.0000
-1.5804 2.7373 0.0000
0.0000 0.0000 27.7991
ATOMIC_POSITIONS angstrom
Mg 0.0000 0.0000 0.0000
Mg 0.0000 1.8248 18.5328
Mg 1.5804 0.9124 9.2664
Al 0.0000 0.0000 6.9377
Al 0.0000 0.0000 20.8615
Al 0.0000 1.8248 11.5951
Al 0.0000 1.8248 25.4704
Al 1.5804 0.9124 2.3287
Al 1.5804 0.9124 16.2040
Hg 0.0000 0.0000 13.8996
Hg 0.0000 1.8248 4.6332
Hg 1.5804 0.9124 23.1659

No. 6
! PBE MgAl2Hg, relaxed; values from VASP
! Space-group type: I-42d, No. 122
! Energy relative to the lowest polymorph listed for this composition in meV per atom: 203
&SYSTEM
  ibrav = 0, nat = 16, ntyp = 3
/
ATOMIC_SPECIES
Mg 24.30 Mg.upf
Al 26.98 Al.upf
Hg 200.59 Hg.upf
CELL_PARAMETERS angstrom
7.9588 0.0000 0.0000
0.0000 7.9588 0.0000
0.0000 0.0000 5.5658
ATOMIC_POSITIONS angstrom
Mg 0.0000 0.0000 0.0000
Mg 0.0000 3.9794 1.3915
Mg 3.9794 0.0000 4.1744
Mg 3.9794 3.9794 2.7829
Al 1.7773 5.9691 3.4786
Al 1.9897 1.7773 2.0872
Al 1.9897 2.2021 4.8701
Al 2.2021 5.9691 0.6957
Al 5.7567 1.9897 0.6957
Al 5.9691 5.7567 4.8701
Al 5.9691 6.1815 2.0872
Al 6.1815 1.9897 3.4786
Hg 0.0000 0.0000 2.7829
Hg 0.0000 3.9794 4.1744
Hg 3.9794 0.0000 1.3915
Hg 3.9794 3.9794 0.0000

Density values, unit g cm⁻³, following the record order: 5.6, 5.4, 5.6, 5.5, 5.8, 5.3.
D(E_F) values, unit states/eV per atom, following the record order: 0.253, 0.386, 0.351, 0.324, 0.470, 0.503.
DFT formation energy values, unit eV per formula unit, following the record order: -0.34, -0.11, -0.19, 0.16, 0.32, 0.87.